Record 1
Density functional theory data (GGA-PBE) for an optimized crystal structure of Li2SnF.

abc: 5.904 5.904 8.117
angles: 90.00 90.00 90.00
Fractional coordinates of all 16 atoms:
1 Li 0.077 0.250 0.125
2 Li 0.250 0.577 0.375
3 Li 0.250 0.923 0.875
4 Li 0.423 0.250 0.625
5 Li 0.577 0.750 0.625
6 Li 0.750 0.077 0.875
7 Li 0.750 0.423 0.375
8 Li 0.923 0.750 0.125
9 Sn 0.000 0.000 0.500
10 Sn 0.000 0.500 0.750
11 Sn 0.500 0.000 0.250
12 Sn 0.500 0.500 0.000
13 F 0.000 0.000 0.000
14 F 0.000 0.500 0.250
15 F 0.500 0.000 0.750
16 F 0.500 0.500 0.500

Values from the calculation:
Calculated volume = 282.9 Å³ per cell
DFT total energy = -3.88 eV per atom

Record 2
Density functional theory data (GGA-PBE) for an optimized crystal structure of LiSn3F.

abc: 4.939 4.939 4.939
angles: 90.00 90.00 90.00
Fractional coordinates of all 5 atoms:
1 Li 0.000 0.000 0.000
2 Sn 0.000 0.000 0.500
3 Sn 0.000 0.500 0.000
4 Sn 0.500 0.000 0.000
5 F 0.500 0.500 0.500

Values from the calculation:
Calculated volume = 120.5 Å³ per cell
DFT total energy = -3.29 eV per atom

Record 3
Density functional theory data (GGA-PBE) for an optimized crystal structure of Li4Sn2F.

abc: 5.037 5.037 11.956
angles: 90.00 90.00 90.00
Fractional coordinates of all 14 atoms:
1 Li 0.000 0.000 0.152
2 Li 0.000 0.000 0.848
3 Li 0.000 0.500 0.000
4 Li 0.000 0.500 0.500
5 Li 0.500 0.000 0.000
6 Li 0.500 0.000 0.500
7 Li 0.500 0.500 0.348
8 Li 0.500 0.500 0.652
9 Sn 0.000 0.000 0.384
10 Sn 0.000 0.000 0.616
11 Sn 0.500 0.500 0.116
12 Sn 0.500 0.500 0.884
13 F 0.000 0.000 0.000
14 F 0.500 0.500 0.500

Values from the calculation:
Calculated volume = 303.3 Å³ per cell
DFT total energy = -3.31 eV per atom

Record 4
Density functional theory data (GGA-PBE) for an optimized crystal structure of LiSnF5.

abc: 5.573 5.573 8.035
angles: 111.89 111.89 82.81
Fractional coordinates of all 14 atoms:
1 Li 0.085 0.915 0.750
2 Li 0.915 0.085 0.250
3 Sn 0.500 0.500 0.000
4 Sn 0.500 0.500 0.500
5 F 0.198 0.264 0.853
6 F 0.213 0.725 0.549
7 F 0.264 0.198 0.353
8 F 0.275 0.787 0.951
9 F 0.424 0.576 0.250
10 F 0.576 0.424 0.750
11 F 0.725 0.213 0.049
12 F 0.736 0.802 0.647
13 F 0.787 0.275 0.451
14 F 0.802 0.736 0.147

Values from the calculation:
Calculated volume = 214.8 Å³ per cell
DFT total energy = -4.82 eV per atom

Record 5
Density functional theory data (GGA-PBE) for an optimized crystal structure of Li2Sn5F12.

abc: 7.274 7.274 7.631
angles: 100.87 100.87 56.57
Fractional coordinates of all 19 atoms:
1 Li 0.182 0.818 0.000
2 Li 0.818 0.182 0.000
3 Sn 0.000 0.000 0.500
4 Sn 0.321 0.321 0.149
5 Sn 0.334 0.334 0.649
6 Sn 0.666 0.666 0.351
7 Sn 0.679 0.679 0.851
8 F 0.002 0.002 0.191
9 F 0.144 0.597 0.470
10 F 0.150 0.564 0.958
11 F 0.403 0.856 0.530
12 F 0.436 0.850 0.042
13 F 0.497 0.497 0.231
14 F 0.503 0.503 0.769
15 F 0.564 0.150 0.958
16 F 0.597 0.144 0.470
17 F 0.850 0.436 0.042
18 F 0.856 0.403 0.530
19 F 0.998 0.998 0.809

Values from the calculation:
Calculated volume = 329.2 Å³ per cell
DFT total energy = -4.82 eV per atom

Record 6
Density functional theory data (GGA-PBE) for an optimized crystal structure of LiSn2F.

abc: 6.732 6.732 6.732
angles: 90.00 90.00 90.00
Fractional coordinates of all 16 atoms:
1 Li 0.000 0.000 0.000
2 Li 0.000 0.500 0.500
3 Li 0.500 0.000 0.500
4 Li 0.500 0.500 0.000
5 Sn 0.250 0.250 0.250
6 Sn 0.250 0.250 0.750
7 Sn 0.250 0.750 0.250
8 Sn 0.250 0.750 0.750
9 Sn 0.750 0.250 0.250
10 Sn 0.750 0.250 0.750
11 Sn 0.750 0.750 0.250
12 Sn 0.750 0.750 0.750
13 F 0.000 0.000 0.500
14 F 0.000 0.500 0.000
15 F 0.500 0.000 0.000
16 F 0.500 0.500 0.500

Values from the calculation:
Calculated volume = 305.0 Å³ per cell
DFT total energy = -3.53 eV per atom

no.,formation energy (no corrections) (kcal/mol of atoms)
1,-33.44
2,-3.02
3,-18.49
4,-60.76
5,-54.94
6,-13.32